(1)
{
  "formula": "K3Pr2TiS6",
  "functional": "PBE-GGA",
  "state": "relaxed",
  "lattice": [[-3.5384, -2.4448, 5.5621], [4.0773, -4.3304, -3.7494], [5.5500, 3.8781, 3.7539]],
  "species": ["K", "K", "K", "Pr", "Pr", "Ti", "S", "S", "S", "S", "S", "S"],
  "fractional_positions": [[0.1689, 0.8311, 0.5000], [0.8311, 0.1689, 0.5000], [0.5000, 0.5000, 0.5000], [0.3324, 0.6676, 0.0000], [0.6676, 0.3324, 0.0000], [0.0000, 0.0000, 0.0000], [0.9319, 0.6274, 0.7984], [0.7651, 0.7651, 0.1980], [0.0681, 0.3726, 0.2016], [0.6274, 0.9319, 0.7984], [0.2349, 0.2349, 0.8020], [0.3726, 0.0681, 0.2016]],
  "e_form_raw_ev_per_fu": -19.35
}



(2)
{
  "formula": "TbNd4Sm2",
  "functional": "PBE-GGA",
  "state": "relaxed",
  "lattice": [[-0.4918, 3.5432, -0.7245], [-2.9684, 1.0958, -1.8190], [-11.3411, 3.8105, 17.1414]],
  "species": ["Tb", "Nd", "Nd", "Nd", "Nd", "Sm", "Sm"],
  "fractional_positions": [[0.0000, 0.0000, 0.0000], [0.1425, 0.1425, 0.5726], [0.2863, 0.2863, 0.1410], [0.7137, 0.7137, 0.8590], [0.8575, 0.8575, 0.4274], [0.4281, 0.4281, 0.7157], [0.5719, 0.5719, 0.2843]],
  "ef_ev_per_atom": 0.009
}



(3)
{
  "formula": "MgNp3Pd12",
  "functional": "PBE-GGA",
  "state": "relaxed",
  "lattice": [[3.9092, 0.0000, 0.0000], [0.0000, 3.9092, 0.0000], [0.0000, 0.0000, 21.0863]],
  "species": ["Mg", "Np", "Np", "Np", "Pd", "Pd", "Pd", "Pd", "Pd", "Pd", "Pd", "Pd", "Pd", "Pd", "Pd", "Pd"],
  "fractional_positions": [[0.0000, 0.0000, 0.0000], [0.0000, 0.0000, 0.8041], [0.0000, 0.0000, 0.5000], [0.0000, 0.0000, 0.1959], [0.5000, 0.5000, 0.0000], [0.5000, 0.5000, 0.6202], [0.5000, 0.5000, 0.5000], [0.5000, 0.5000, 0.3798], [0.5000, 0.0000, 0.2883], [0.5000, 0.0000, 0.9002], [0.5000, 0.0000, 0.0998], [0.5000, 0.0000, 0.7117], [0.0000, 0.5000, 0.2883], [0.0000, 0.5000, 0.9002], [0.0000, 0.5000, 0.0998], [0.0000, 0.5000, 0.7117]],
  "ef_ev_per_atom": -0.063
}



no.,density of states at the Fermi level (states/eV/f.u.)
1,6.344
2,8.804
3,34.789